This record from Alexandria describes Co3TcF after structural relaxation. The functional is PBE with a Hubbard U.

abc: 4.042 4.042 4.042
angles: 90.00 90.00 90.00
Sites, in units of the cell vectors:
Co (0.000, 0.500, 0.000)
Co (0.000, 0.000, 0.500)
Co (0.500, 0.000, 0.000)
Tc (0.500, 0.500, 0.500)
F (0.000, 0.000, 0.000)

Values from the calculation:
DOS at the Fermi energy (states/eV/atom): 0.94
Offset from the most stable computed form (meV per atom): 0
Theoretical density (Mg/m³): 7.39
Space-group type: Pm-3m, No. 221